{"formula": "Na2Mn3SbO6", "functional": "GGA+U", "state": "optimized geometry", "dos_at_fermi_per_ev_cell": 1.71, "final_energy_ev_per_cell": -77.4, "lattice": [[5.621, 0.014, -0.005], [-2.797, 4.876, -0.005], [-0.948, -1.642, 5.294]], "species": ["Na", "Na", "Mn", "Mn", "Mn", "Sb", "O", "O", "O", "O", "O", "O"], "frac_coords": [[0.334, 0.666, 0.000], [0.666, 0.334, 0.000], [0.168, 0.832, 0.500], [0.832, 0.168, 0.500], [0.500, 0.500, 0.500], [0.000, 0.000, 0.000], [0.912, 0.603, 0.733], [0.780, 0.780, 0.252], [0.088, 0.397, 0.267], [0.603, 0.912, 0.733], [0.220, 0.220, 0.748], [0.397, 0.088, 0.267]]}